Here is crystalline LaTbH8Ir2 at its relaxed geometry from the Alexandria database. Energies are from GGA-PBE.

Unit cell a=4.8788 b=4.8788 c=6.8511 alpha=69.14 beta=69.14 gamma=60.00
Fractional coordinates of all 12 atoms:
La  0.5000  0.5000  0.5000
Tb  0.0000  0.0000  0.0000
H  0.8904  0.5336  0.1700
H  0.5940  0.1096  0.8300
H  0.8213  0.8213  0.5361
H  0.4664  0.5940  0.8300
H  0.4060  0.8904  0.1700
H  0.1096  0.4664  0.8300
H  0.5336  0.4060  0.1700
Ir  0.7349  0.7349  0.7952
Ir  0.2651  0.2651  0.2048
H  0.1787  0.1787  0.4639

Summary:
The symmetry is R-3 (148). As for the crystal system: trigonal. Its density is 8.90 g/cm³. Its total magnetization is 0.00 μB per formula unit. As for the electronic total energy: -4.808 eV per atom. As for the volume: 128.7 Å³/cell.